Crystalline HfTlFe at its relaxed geometry. Source: the Open Quantum Materials Database, functional GGA-PBE.

The structure belongs to space group F-43m (No. 216); the cell edges are 6.4284, 6.4284 and 6.4284 Å and the angles 90.00°, 90.00° and 90.00°. The asymmetric unit holds Hf at (0.0000, 0.0000, 0.0000), Tl at (0.2500, 0.2500, 0.7500) and Fe at (0.0000, 0.0000, 0.5000).

As for the mass density: 10969 kg/m3. As for the total energy: -6.152 eV per atom.